# 1
InRe2Mo | PBE | optimized geometry

abc: 3.9628 3.9628 8.3166
angles: 90.00 90.00 90.00
With the nearest neighbours (Å) after each atom.
Space group I-4m2 (No. 119)
Unique sites:
In: 0.0000 0.0000 0.0000 x2  8 Re 2.80-2.87, 4 Mo 2.87
Re: 0.0000 0.0000 0.5000 x2  4 In 2.80, 4 Mo 2.87, 4 Re 2.87
Re: 0.0000 0.5000 0.2500 x2  4 Mo 2.80, 4 In 2.87, 4 Re 2.87
Mo: 0.0000 0.5000 0.7500 x2  8 Re 2.80-2.87, 4 In 2.87

Formation enthalpy at 0 K: 0.496 eV per atom
DOS at the Fermi energy: 8.6 states/eV per cell

# 2
InBPb2 | PBE | optimized geometry

abc: 6.4884 6.4884 11.0359
angles: 90.00 90.00 90.00
With the nearest neighbours (Å) after each atom.
Space group I-42d (No. 122)
Unique sites:
In: 0.0000 0.0000 0.0000 x4  4 Pb 3.05
B: 0.0000 0.0000 0.5000 x4  4 Pb 2.38
Pb: 0.1639 0.2500 0.6250 x8  2 B 2.38

ΔE to the lowest computed polymorph: 0 meV per atom
Formation enthalpy at 0 K: 0.680 eV per atom
DOS at the Fermi energy: 3.2 states/eV per cell

# 3
PaTaTl2O8 | PBE | optimized geometry

abc: 7.0902 7.3315 6.7484
angles: 90.00 90.00 90.00
With the nearest neighbours (Å) after each atom.
Space group Cmmm (No. 65)
Unique sites:
Pa: 0.0000 0.0000 0.0000 x2  6 O 2.12-2.23
Ta: 0.0000 0.0000 0.5000 x2  6 O 2.01-2.02
Tl: 0.0000 0.5000 0.2593 x4  6 O 2.24-2.38
O: 0.0000 0.1755 0.2694 x8  1 Ta 2.02, 1 Pa 2.23
O: 0.2006 0.5000 0.0000 x4  1 Pa 2.12, 2 Tl 2.26
O: 0.2169 0.5000 0.5000 x4  1 Ta 2.01, 2 Tl 2.24

DOS at the Fermi energy: 0.0 states/eV per cell
ΔE_f (raw): -2.13 eV per atom

# 4
Sr2CdPbS4 | PBE | optimized geometry

abc: 8.3063 8.4059 11.8855
angles: 90.00 90.00 90.00
With the nearest neighbours (Å) after each atom.
Space group Imma (No. 74)
Unique sites:
Sr: 0.0000 0.0000 0.0000 x4  6 S 3.03-3.05
Sr: 0.2500 0.2500 0.2500 x4  6 S 2.94-2.97
Cd: 0.0000 0.0000 0.5000 x4  6 S 2.86-2.91
Pb: 0.2500 0.2500 0.7500 x4  6 S 2.97
S: 0.0000 0.0019 0.2548 x8  1 Cd 2.91, 3 Sr 2.94-3.03, 2 Pb 2.97
S: 0.2338 0.2500 0.5000 x8  2 Cd 2.86, 1 Pb 2.97, 3 Sr 2.97-3.05

ΔE_f (raw): -1.29 eV per atom

# 5
Er4ZnTc | PBE | optimized geometry

abc: 8.2745 12.3895 6.2194
angles: 90.00 105.34 90.00
With the nearest neighbours (Å) after each atom.
Space group C2/c (No. 15)
Unique sites:
Er: 0.1048 0.1731 0.0394 x8  2 Tc 2.75-2.80, 1 Zn 3.04
Er: 0.2107 0.4203 0.4100 x8  2 Tc 2.91-3.00, 2 Zn 3.12-3.13
Zn: 0.0000 0.3724 0.7500 x4  8 Er 3.04-3.23
Tc: 0.0000 0.0017 0.2500 x4  8 Er 2.75-3.00

ΔE to the lowest computed polymorph: 0 meV per atom
Formation enthalpy at 0 K: -0.192 eV per atom
DOS at the Fermi energy: 18.5 states/eV per cell

# 6
LiTmZnCl6 | PBE | optimized geometry

abc: 6.4605 6.4605 11.8813
angles: 90.00 90.00 120.00
With the nearest neighbours (Å) after each atom.
Space group P-31c (No. 163)
Unique sites:
Li: 0.0000 0.0000 0.0000 x2  6 Cl 2.71
Tm: 0.3333 0.6667 0.2500 x2  6 Cl 2.61
Zn: 0.3333 0.6667 0.7500 x2  6 Cl 2.50
Cl: 0.0138 0.3522 0.6292 x12  1 Zn 2.50, 1 Tm 2.61, 1 Li 2.71

DOS at the Fermi energy: 0.0 states/eV per cell
ΔE_f (raw): -1.74 eV per atom

# 7
ReAg2H2 | PBE | optimized geometry

abc: 6.5566 6.5566 2.7742
angles: 90.00 90.00 90.00
With the nearest neighbours (Å) after each atom.
Space group P4/mbm (No. 127)
Unique sites:
Re: 0.0000 0.0000 0.0000 x2  4 H 2.35
Ag: 0.1534 0.3466 0.5000 x4  2 H 1.89
H: 0.2081 0.7081 0.0000 x4  2 Ag 1.89

ΔE to the lowest computed polymorph: 0 meV per atom
DOS at the Fermi energy: 4.3 states/eV per cell

# 8
Ac2Tl3Te6Pb | PBE | optimized geometry

abc: 21.1197 4.7534 9.6177
angles: 90.00 104.58 90.00
With the nearest neighbours (Å) after each atom.
Space group C2/m (No. 12)
Unique sites:
Ac: 0.1641 0.0000 0.3279 x4  6 Te 3.30-3.37
Tl: 0.0000 0.5000 0.5000 x2  6 Te 3.44-3.51
Tl: 0.1679 0.0000 0.8347 x4  6 Te 3.43-3.48
Te: 0.0020 0.0000 0.2426 x4  1 Ac 3.31, 2 Pb 3.32, 3 Tl 3.44-3.48
Te: 0.1621 0.5000 0.0889 x4  2 Ac 3.30, 1 Pb 3.31, 3 Tl 3.43-3.48
Te: 0.1712 0.5000 0.5739 x4  3 Ac 3.33-3.37, 3 Tl 3.47-3.51
Pb: 0.0000 0.5000 0.0000 x2  6 Te 3.31-3.32

DOS at the Fermi energy: 17.5 states/eV per cell
ΔE_f (raw): -0.83 eV per atom

# 9
Pr2Al2Sn | PBE | optimized geometry

abc: 11.6166 4.5413 11.7135
angles: 90.00 119.27 90.00
With the nearest neighbours (Å) after each atom.
Space group C2/m (No. 12)
Unique sites:
Pr: 0.1015 0.0000 0.4086 x4  6 Al 3.19-3.42, 2 Sn 3.31
Pr: 0.2037 0.5000 0.1510 x4  7 Al 3.28-3.56, 4 Sn 3.32-3.46
Al: 0.0224 0.0000 0.9061 x4  1 Al 2.50, 2 Sn 2.69
Al: 0.1271 0.5000 0.6106 x4  1 Sn 2.76, 1 Al 2.82
Sn: 0.0731 0.5000 0.8150 x4  3 Al 2.69-2.76

Formation enthalpy at 0 K: -0.496 eV per atom
DOS at the Fermi energy: 12.8 states/eV per cell

# 10
LiSmIn2I6 | PBE | optimized geometry

abc: 8.3417 8.3417 21.0789
angles: 90.00 90.00 120.00
With the nearest neighbours (Å) after each atom.
Space group R3 (No. 146, hexagonal axes)
Unique sites:
Li: 0.0000 0.0000 0.0000 x3  6 I 2.98-3.18
Sm: 0.0000 0.0000 0.5076 x3  6 I 3.08-3.12
In: 0.0000 0.0000 0.2090 x3  6 I 3.46-3.56
In: 0.0000 0.0000 0.7139 x3  6 I 3.50-3.55
I: 0.0073 0.4125 0.7611 x9  1 Sm 3.08, 1 Li 3.18
I: 0.0079 0.6004 0.2638 x9  1 Li 2.98, 1 Sm 3.12

DOS at the Fermi energy: 0.0 states/eV per cell
ΔE_f (raw): -0.96 eV per atom

# 11
BaScCu2W | PBE | optimized geometry

abc: 5.0492 5.0492 5.2847
angles: 90.00 90.00 90.00
With the nearest neighbours (Å) after each atom.
Space group P4/mmm (No. 123)
Unique sites:
Ba: 0.0000 0.0000 0.0000 x1  4 Cu 2.52, 2 W 2.64
Sc: 0.5000 0.5000 0.5000 x1  4 W 3.57, 8 Cu 3.65
Cu: 0.0000 0.5000 0.0000 x2  2 Ba 2.52
W: 0.0000 0.0000 0.5000 x1  2 Ba 2.64

Formation enthalpy at 0 K: 2.085 eV per atom
DOS at the Fermi energy: 3.6 states/eV per cell

# 12
LiCo2BAs | PBE | optimized geometry

abc: 8.5002 3.3471 4.4693
angles: 90.00 103.18 90.00
With the nearest neighbours (Å) after each atom.
Space group Cm (No. 8)
Unique sites:
Li: 0.0000 0.0000 0.0000 x2  3 B 2.43-2.60, 3 As 2.64-2.65, 1 Co 2.72
Co: 0.1263 0.5000 0.4780 x2  1 B 1.94
Co: 0.3180 0.0000 0.2945 x2  2 B 1.98
B: 0.2129 0.5000 0.1122 x2  3 Co 1.94-1.98
As: 0.2606 0.0000 0.7738 x2  4 Co 2.27-2.30, 2 B 2.35

ΔE to the lowest computed polymorph: 352 meV per atom
Formation enthalpy at 0 K: 0.062 eV per atom
DOS at the Fermi energy: 6.9 states/eV per cell

# 13
Tb8CeSm5 | PBE | optimized geometry

abc: 9.5221 9.5221 10.2850
angles: 90.00 90.00 90.00
With the nearest neighbours (Å) after each atom.
Space group I-4 (No. 82)
Unique sites:
Tb: 0.0721 0.3224 0.3978 x8  5 Sm 3.32-3.55, 3 Tb 3.65
Tb: 0.0817 0.1819 0.7467 x8  1 Ce 3.13, 3 Sm 3.17-3.41
Ce: 0.0000 0.5000 0.7500 x2  4 Tb 3.13
Sm: 0.0000 0.0000 0.5000 x2  8 Tb 3.17-3.32
Sm: 0.1097 0.2115 0.0747 x8  8 Tb 3.40-3.58, 2 Sm 3.56

Formation enthalpy at 0 K: 0.257 eV per atom
DOS at the Fermi energy: 50.2 states/eV per cell

# 14
AuSeBr | PBE | optimized geometry

abc: 6.7092 6.7092 6.7092
angles: 90.00 90.00 90.00
With the nearest neighbours (Å) after each atom.
Space group F-43m (No. 216)
Unique sites:
Au: 0.0000 0.0000 0.0000 x4  4 Se 2.91, 4 Br 2.91
Se: 0.2500 0.2500 0.7500 x4  4 Au 2.91
Br: 0.2500 0.2500 0.2500 x4  4 Au 2.91

DOS at the Fermi energy: 24.3 states/eV per cell
ΔE_f (raw): 0.51 eV per atom

# 15
DyCoC2 | PBE | optimized geometry

abc: 3.5794 4.5070 5.9862
angles: 90.00 90.00 90.00
With the nearest neighbours (Å) after each atom.
Space group Amm2 (No. 38)
Unique sites:
Dy: 0.0000 0.0000 0.0000 x2  8 C 2.65, 6 Co 2.91-2.96
Co: 0.5000 0.0000 0.3825 x2  4 C 1.93-1.99
C: 0.5000 0.1530 0.6940 x4  1 C 1.38

Formation enthalpy at 0 K: -0.347 eV per atom
DOS at the Fermi energy: 3.0 states/eV per cell

# 16
PaAlSi | PBE | optimized geometry

abc: 4.1230 9.8857 5.7587
angles: 90.00 90.00 90.00
With the nearest neighbours (Å) after each atom.
Space group Cmcm (No. 63)
Unique sites:
Pa: 0.0000 0.1919 0.2500 x4  5 Si 2.89-3.01, 4 Al 3.15
Al: 0.0000 0.5000 0.0000 x4  4 Si 2.72, 2 Al 2.88
Si: 0.0000 0.1038 0.7500 x4  4 Al 2.72, 5 Pa 2.89-3.01

DOS at the Fermi energy: 13.5 states/eV per cell
ΔE_f (raw): -0.42 eV per atom

# 17
AlHPd4 | PBE | optimized geometry

abc: 4.0210 4.0196 5.4869
angles: 90.00 111.33 90.00
With the nearest neighbours (Å) after each atom.
Space group Pm (No. 6)
Unique sites:
Al: 0.0000 0.0000 0.0000 x1  8 Pd 2.50-2.53
H: 0.3427 0.5000 0.6691 x1  5 Pd 1.93-2.05
Pd: 0.1457 0.5000 0.2919 x1  1 H 1.93
Pd: 0.3508 0.0000 0.7005 x1  2 H 2.02
Pd: 0.6448 0.0000 0.2902 x1  2 Al 2.50
Pd: 0.8506 0.5000 0.7005 x1  2 H 1.99-2.05

E: -30.11 eV for the cell shown
DOS at the Fermi energy: 2.1 states/eV per cell

# 18
Pu2Zn4InGa3 | PBE | optimized geometry

abc: 4.2543 4.2543 10.8924
angles: 90.00 90.00 90.00
With the nearest neighbours (Å) after each atom.
Space group P-4m2 (No. 115)
Unique sites:
Pu: 0.0000 0.5000 0.2354 x2  6 Ga 3.22-3.58, 8 Zn 3.26-3.33, 2 In 3.58
Zn: 0.0000 0.0000 0.0000 x1  4 Ga 2.56
Zn: 0.0000 0.5000 0.6485 x2  3 Ga 2.41-2.67, 2 In 2.67
Zn: 0.5000 0.5000 0.0000 x1  4 Ga 2.56
In: 0.0000 0.0000 0.5000 x1  4 Zn 2.67
Ga: 0.0000 0.5000 0.8695 x2  5 Zn 2.41-2.56
Ga: 0.5000 0.5000 0.5000 x1  4 Zn 2.67

Formation enthalpy at 0 K: -0.206 eV per atom
DOS at the Fermi energy: 24.8 states/eV per cell

# 19
HfSBr | PBE | optimized geometry

abc: 14.4099 3.5809 6.1072
angles: 90.00 92.32 90.00
With the nearest neighbours (Å) after each atom.
Space group Cm (No. 8)
Unique sites:
Hf: 0.0000 0.0000 0.0000 x2  3 S 2.51-2.54, 3 Br 2.77-2.79
Hf: 0.0019 0.5000 0.5002 x2  3 S 2.51-2.54, 3 Br 2.77-2.79
S: 0.1030 0.0000 0.6718 x2  3 Hf 2.51-2.54
S: 0.3989 0.0000 0.1521 x2  3 Hf 2.51-2.54
Br: 0.1310 0.5000 0.1769 x2  3 Hf 2.77-2.79
Br: 0.3709 0.5000 0.6520 x2  3 Hf 2.77-2.79

DOS at the Fermi energy: 6.0 states/eV per cell
ΔE_f (raw): -1.33 eV per atom

# 20
RbY2CuCl8 | PBE | optimized geometry

abc: 7.1252 8.1400 8.2752
angles: 98.81 115.06 92.45
With the nearest neighbours (Å) after each atom.
Space group P-1 (No. 2)
Unique sites:
Rb: 0.0000 0.0000 0.0000 x1  6 Cl 3.18-3.44
Y: 0.4918 0.2585 0.5291 x2  6 Cl 2.51-2.77
Cu: 0.0000 0.5000 0.0000 x1  2 Cl 2.12
Cl: 0.0875 0.6905 0.2336 x2  1 Cu 2.12
Cl: 0.0994 0.2232 0.3842 x2  1 Y 2.51
Cl: 0.4820 0.5618 0.7073 x2  2 Y 2.68-2.69
Cl: 0.4851 0.0034 0.7056 x2  2 Y 2.72-2.73

DOS at the Fermi energy: 0.0 states/eV per cell
ΔE_f (raw): -1.89 eV per atom

Number 1: volume 130.6 Å³/cell. Number 2: volume 464.6 Å³/cell. Number 3: volume 350.8 Å³/cell. Number 4: volume 829.9 Å³/cell. Number 5: volume 614.9 Å³/cell. Number 6: volume 429.5 Å³/cell. Number 7: volume 119.3 Å³/cell. Number 8: volume 934.4 Å³/cell. Number 9: volume 539.0 Å³/cell. Number 10: volume 1270.2 Å³/cell. Number 11: volume 134.7 Å³/cell. Number 12: volume 123.8 Å³/cell. Number 13: volume 932.5 Å³/cell. Number 14: volume 302.0 Å³/cell. Number 15: volume 96.6 Å³/cell. Number 16: volume 234.7 Å³/cell. Number 17: volume 82.6 Å³/cell. Number 18: volume 197.1 Å³/cell. Number 19: volume 314.9 Å³/cell. Number 20: volume 426.5 Å³/cell.